The following is a GGA-PBE calculation of a relaxed KBe2Fe2 crystal, from Alexandria.

a b c (Å): 4.1809 4.1809 11.7922
angles (deg): 90.00 90.00 90.00
Closest atoms and distances in Å follow each position.
Element x y z (fractional)
K  0.0000  0.0000  0.0000  2 Fe 3.19
K  0.5000  0.5000  0.5000  2 Fe 3.19
Be  0.0000  0.5000  0.2500  4 Fe 2.10
Be  0.0000  0.5000  0.7500  4 Fe 2.10
Be  0.5000  0.0000  0.2500  4 Fe 2.10
Be  0.5000  0.0000  0.7500  4 Fe 2.10
Fe  0.0000  0.0000  0.2708  4 Be 2.10
Fe  0.0000  0.0000  0.7292  4 Be 2.10
Fe  0.5000  0.5000  0.2292  4 Be 2.10
Fe  0.5000  0.5000  0.7708  4 Be 2.10

The calculation puts the formation energy at 0.71 eV per atom. The calculation puts the total DFT energy (no corrections) at -4.3801 eV/atom. The size of the total moment is 3.87 μB per formula unit. Its density of states at the Fermi level is 8.1 states/eV/cell.